Material: TiBi2O4F2
Method: DFT, PBE
State: relaxed

## Properties
Total magnetic moment (Bohr magnetons per cell): 0.0
Theoretical density (g/cm3): 8.049
Uncorrected formation energy (eV/atom): -2.143
Uncorrected energy (eV/atom): -6.502
SG: I4/mmm (139)

Cell lengths 8.290, 8.290, 8.290 Å; angles 153.01, 153.01, 38.53 degrees
Fractional positions:
Ti  0.000  0.000  0.000
Bi  0.332  0.332  0.000
Bi  0.668  0.668  0.000
O  0.000  0.500  0.500
O  0.250  0.750  0.500
O  0.500  0.000  0.500
O  0.750  0.250  0.500
F  0.127  0.127  0.000
F  0.873  0.873  0.000